VASP calculation (PBE-GGA) on a geometry-optimized AcDyCd3 structure.

space-group type = Cmcm
crystal system = orthorhombic
density = 8.5 g cm⁻³
E_form = -0.294 eV/atom

```
10
Lattice="1.867 -15.035 0.000 1.867 15.035 0.000 0.000 0.000 5.080" Properties=species:S:1:pos:R:3 pbc="T T T"
Ac 1.867 12.726 3.810
Ac 1.867 -12.726 1.270
Dy 1.867 8.601 1.270
Dy 1.867 -8.601 3.810
Cd 1.867 5.452 1.270
Cd 1.867 3.799 3.810
Cd 1.867 0.740 3.810
Cd 1.867 -0.740 1.270
Cd 1.867 -3.799 1.270
Cd 1.867 -5.452 3.810
```


VASP calculation (PBE-GGA) on a geometry-optimized Ac4DyCd structure.

space-group type = P4/mmm
crystal system = tetragonal
density = 8.4 g cm⁻³
E_form = -0.070 eV/atom

```
6
Lattice="3.960 0.000 0.000 0.000 3.960 0.000 0.000 0.000 14.895" Properties=species:S:1:pos:R:3 pbc="T T T"
Ac 0.000 0.000 2.144
Ac 0.000 0.000 12.751
Ac 1.980 1.980 4.956
Ac 1.980 1.980 9.939
Dy 0.000 0.000 7.448
Cd 1.980 1.980 0.000
```


VASP calculation (PBE-GGA) on a geometry-optimized Ac2Dy3Cd2 structure.

space-group type = Cmmm
crystal system = orthorhombic
density = 8.4 g cm⁻³
E_form = -0.099 eV/atom

```
14
Lattice="3.757 0.000 0.000 0.000 32.994 0.000 0.000 0.000 3.716" Properties=species:S:1:pos:R:3 pbc="T T T"
Ac 0.000 6.499 0.000
Ac 0.000 26.494 0.000
Ac 1.878 9.997 0.000
Ac 1.878 22.996 0.000
Dy 0.000 2.314 0.000
Dy 0.000 16.497 1.858
Dy 0.000 30.679 0.000
Dy 1.878 0.000 1.858
Dy 1.878 14.182 0.000
Dy 1.878 18.811 0.000
Cd 0.000 12.328 1.858
Cd 0.000 20.666 1.858
Cd 1.878 4.169 1.858
Cd 1.878 28.825 1.858
```


VASP calculation (PBE-GGA) on a geometry-optimized AcDyCd2 structure.

space-group type = P4/mmm
crystal system = tetragonal
density = 8.6 g cm⁻³
E_form = -0.290 eV/atom
distance to the lowest polymorph of the same formula = 0.0000 eV per atom

```
4
Lattice="3.855 0.000 0.000 0.000 3.855 0.000 0.000 0.000 8.026" Properties=species:S:1:pos:R:3 pbc="T T T"
Ac 0.000 0.000 0.000
Dy 0.000 0.000 4.013
Cd 1.928 1.928 2.292
Cd 1.928 1.928 5.734
```